First-principles (PBE with a Hubbard U) data for a geometry-optimized AcMoO5 structure, as listed in Alexandria via LeMat-Bulk.

CIF file:
```
data_AcMoO5
_chemical_formula_sum 'Ac4 Mo4 O20'
_cell_length_a 9.521
_cell_length_b 6.856
_cell_length_c 7.939
_cell_angle_alpha 90.00
_cell_angle_beta 113.92
_cell_angle_gamma 90.00
_space_group_name_H-M_alt 'C 1 2/c 1'
_space_group_IT_number 15
_space_group_name_Hall '-C 2yc'
loop_
_atom_site_label
_atom_site_type_symbol
_atom_site_fract_x
_atom_site_fract_y
_atom_site_fract_z
_atom_site_occupancy
Ac1 Ac 0.000 0.052 0.250 1
Mo1 Mo 0.000 0.500 0.000 1
O1 O 0.000 0.442 0.250 1
O2 O 0.006 0.223 0.967 1
O3 O 0.216 0.489 0.607 1
```

## Properties
E_tot	-7.18	eV/atom